TaV2Sb: optimized geometry, PBE.

Output
Total moment, μB per atom: 0.000
Formation energy without anion corrections, eV/atom: -0.050
Calculated volume, Å³/atom: 16.36

Cell: 4.2887 4.2887 3.5580 Å, 90.00 90.00 90.00°
Last column: nearest neighbours and their distance in Å.
Space group P4/mmm (No. 123)
One atom of each set of equivalent atoms:
Ta (0.0000, 0.0000, 0.0000) x1  8 V 2.79, 4 Sb 3.03
V (0.0000, 0.5000, 0.5000) x2  4 Ta 2.79, 4 Sb 2.79, 4 V 3.03
Sb (0.5000, 0.5000, 0.0000) x1  8 V 2.79, 4 Ta 3.03